Entry 1:
DFT (PBE) results for a relaxed Tb3In12Pt4 crystal.

Calculated total energy   -4.304 eV/atom
Density of states at the Fermi level   0.2720 states/eV/atom
DFT formation energy   -0.57 eV per atom

Cell and atoms, written as CIF:
```
data_Tb3In12Pt4
_symmetry_space_group_name_H-M 'P -3 m 1'
_symmetry_Int_Tables_number 164
_symmetry_space_group_name_Hall '-P 3 2"'
_cell_length_a 10.0255
_cell_length_b 10.0255
_cell_length_c 15.4488
_cell_angle_alpha 90.00
_cell_angle_beta 90.00
_cell_angle_gamma 120.00
loop_
_atom_site_label
_atom_site_type_symbol
_atom_site_fract_x
_atom_site_fract_y
_atom_site_fract_z
Tb1 Tb 0.0000 0.0000 0.0000
Tb2 Tb 0.0111 0.5056 0.1948
Tb3 Tb 0.3333 0.6667 0.5138
In1 In 0.0000 0.0000 0.3741
In2 In 0.0000 0.2875 0.5000
In3 In 0.0000 0.3505 0.0000
In4 In 0.1205 0.2409 0.1747
In5 In 0.2114 0.4227 0.6858
In6 In 0.2224 0.4447 0.3312
In7 In 0.3333 0.6667 0.0880
In8 In 0.3333 0.6667 0.8854
Pt1 Pt 0.0112 0.5056 0.6114
Pt2 Pt 0.1730 0.3460 0.8613
```

=====

Entry 2:
DFT (PBE) results for a relaxed Ba3Os crystal.

Calculated total energy   -3.785 eV/atom
Density of states at the Fermi level   0.5512 states/eV/atom
DFT formation energy   0.46 eV per atom

Cell and atoms, written as CIF:
```
data_Ba3Os
_symmetry_space_group_name_H-M 'I m m 2'
_symmetry_Int_Tables_number 44
_cell_length_a 4.1903
_cell_length_b 11.9463
_cell_length_c 7.4997
_cell_angle_alpha 90.00
_cell_angle_beta 90.00
_cell_angle_gamma 90.00
loop_
_symmetry_equiv_pos_as_xyz
'x,y,z'
'-x,-y,z'
'-x,y,z'
'x,-y,z'
'x+1/2,y+1/2,z+1/2'
'-x+1/2,-y+1/2,z+1/2'
'-x+1/2,y+1/2,z+1/2'
'x+1/2,-y+1/2,z+1/2'
loop_
_atom_site_label
_atom_site_type_symbol
_atom_site_fract_x
_atom_site_fract_y
_atom_site_fract_z
Ba1 Ba 0.0000 0.0000 0.0000
Ba2 Ba 0.0000 0.1626 0.5467
Os1 Os 0.0000 0.5000 0.2046
```

=====

Entry 3:
DFT (PBE) results for a relaxed Be2NbMo crystal.

Offset from the most stable computed form   294.1 meV per atom
Calculated total energy   -6.985 eV/atom
Density of states at the Fermi level   0.5952 states/eV/atom
DFT formation energy   0.10 eV per atom

Cell and atoms, written as CIF:
```
data_Be2NbMo
_symmetry_space_group_name_H-M 'F m -3 m'
_symmetry_Int_Tables_number 225
_symmetry_space_group_name_Hall '-F 4 2 3'
_cell_length_a 5.8904
_cell_length_b 5.8904
_cell_length_c 5.8904
_cell_angle_alpha 90.00
_cell_angle_beta 90.00
_cell_angle_gamma 90.00
loop_
_atom_site_label
_atom_site_type_symbol
_atom_site_fract_x
_atom_site_fract_y
_atom_site_fract_z
Be1 Be 0.2500 0.2500 0.2500
Nb1 Nb 0.0000 0.0000 0.0000
Mo1 Mo 0.0000 0.0000 0.5000
```

=====

Entry 4:
DFT (PBE) results for a relaxed K2SnSb4Au3 crystal.

Calculated total energy   -3.509 eV/atom
Density of states at the Fermi level   0.4534 states/eV/atom
Formation energy from raw total energies   -2.6 eV/f.u.

Cell and atoms, written as CIF:
```
data_K2SnSb4Au3
_symmetry_space_group_name_H-M 'P -4 m 2'
_symmetry_Int_Tables_number 115
_cell_length_a 4.9603
_cell_length_b 4.9603
_cell_length_c 11.5620
_cell_angle_alpha 90.00
_cell_angle_beta 90.00
_cell_angle_gamma 90.00
loop_
_symmetry_equiv_pos_as_xyz
'x,y,z'
'y,-x,-z'
'-x,-y,z'
'-y,x,-z'
'-x,y,z'
'-y,-x,-z'
'x,-y,z'
'y,x,-z'
loop_
_atom_site_label
_atom_site_type_symbol
_atom_site_fract_x
_atom_site_fract_y
_atom_site_fract_z
K1 K 0.0000 0.5000 0.2469
Sn1 Sn 0.0000 0.0000 0.5000
Sb1 Sb 0.0000 0.0000 0.0000
Sb2 Sb 0.0000 0.5000 0.6390
Sb3 Sb 0.5000 0.5000 0.0000
Au1 Au 0.0000 0.5000 0.8777
Au2 Au 0.5000 0.5000 0.5000
```

=====

Entry 5:
DFT (PBE) results for a relaxed Pr3AlTl crystal.

Calculated total energy   -4.225 eV/atom
Density of states at the Fermi level   0.7639 states/eV/atom
DFT formation energy   -0.14 eV per atom

Cell and atoms, written as CIF:
```
data_Pr3AlTl
_symmetry_space_group_name_H-M 'P 63/m m c'
_symmetry_Int_Tables_number 194
_symmetry_space_group_name_Hall '-P 6c 2c'
_cell_length_a 8.4677
_cell_length_b 8.4677
_cell_length_c 5.2563
_cell_angle_alpha 90.00
_cell_angle_beta 90.00
_cell_angle_gamma 120.00
loop_
_atom_site_label
_atom_site_type_symbol
_atom_site_fract_x
_atom_site_fract_y
_atom_site_fract_z
Pr1 Pr 0.1910 0.3820 0.2500
Al1 Al 0.0000 0.0000 0.0000
Tl1 Tl 0.3333 0.6667 0.7500
```

=====

Entry 6:
DFT (PBE) results for a relaxed NpPbAu crystal.

Calculated total energy   -6.197 eV/atom
Density of states at the Fermi level   1.6075 states/eV/atom
DFT formation energy   0.45 eV per atom

Cell and atoms, written as CIF:
```
data_NpPbAu
_symmetry_space_group_name_H-M 'I 4 m m'
_symmetry_Int_Tables_number 107
_symmetry_space_group_name_Hall 'I 4 -2'
_cell_length_a 3.0029
_cell_length_b 3.0029
_cell_length_c 17.2613
_cell_angle_alpha 90.00
_cell_angle_beta 90.00
_cell_angle_gamma 90.00
loop_
_atom_site_label
_atom_site_type_symbol
_atom_site_fract_x
_atom_site_fract_y
_atom_site_fract_z
Np1 Np 0.0000 0.0000 0.0000
Pb1 Pb 0.0000 0.0000 0.6583
Au1 Au 0.0000 0.0000 0.8324
```

=====

| no. | magnetic moment (μB/cell) | V (Å³ per atom) |
| --- | --- | --- |
| 1 | 0.000 | 23.6 |
| 2 | 0.000 | 46.9 |
| 3 | 0.000 | 12.8 |
| 4 | 0.000 | 28.4 |
| 5 | 0.000 | 32.6 |
| 6 | 9.196 | 25.9 |